SbRu2Pt: optimized geometry, PBE.

Results
* space-group type: R-3m (166)
* V: 16.35 Å³/atom
* crystal system: trigonal
* D(E_F): 6.00 states/eV/cell

Unit cell a=8.624 b=8.624 c=8.624 alpha=19.97 beta=19.97 gamma=19.97
Element x y z (fractional)
Sb1 0.000 0.000 0.000
Ru1 0.253 0.253 0.253
Ru2 0.747 0.747 0.747
Pt1 0.500 0.500 0.500

SbRuPt3: optimized geometry, PBE.

Results
* space-group type: Pm-3m (221)
* V: 22.26 Å³/atom
* crystal system: cubic
* D(E_F): 6.04 states/eV/cell
* ΔE to the lowest computed polymorph: 0 meV/atom

Unit cell a=4.810 b=4.810 c=4.810 alpha=90.00 beta=90.00 gamma=90.00
Element x y z (fractional)
Sb1 0.000 0.000 0.000
Ru1 0.500 0.500 0.500
Pt1 0.000 0.500 0.500
Pt2 0.500 0.000 0.500
Pt3 0.500 0.500 0.000

SbRuPt: optimized geometry, PBE.

Results
* space-group type: P3m1 (156)
* V: 17.48 Å³/atom
* crystal system: trigonal
* D(E_F): 2.40 states/eV/cell
* ΔE to the lowest computed polymorph: 123 meV/atom

Unit cell a=4.345 b=4.345 c=3.209 alpha=90.00 beta=90.00 gamma=120.00
Element x y z (fractional)
Sb1 0.000 0.000 0.000
Ru1 0.333 0.667 0.769
Pt1 0.667 0.333 0.297

Going through the records in order, we get total DFT energy (no corrections) values of -27.43; -26.09; -19.18 eV/cell.
Going through the records in order, we get E_form (uncorrected) values of 0.32; 1.09; 0.09 eV per atom.